[1]
SmP3O9: relaxed, GGA-PBE.

Cell lengths 7.066, 7.066, 7.340 Å; angles 90.00, 90.00, 105.39 degrees
Element x y z (fractional)
Sm 0.125 0.125 0.000
Sm 0.875 0.875 0.500
P 0.250 0.250 0.500
P 0.313 0.666 0.045
P 0.334 0.687 0.455
P 0.666 0.313 0.955
P 0.687 0.334 0.545
P 0.750 0.750 0.000
O 0.133 0.170 0.331
O 0.170 0.133 0.669
O 0.173 0.787 0.467
O 0.213 0.827 0.033
O 0.216 0.470 0.964
O 0.252 0.471 0.544
O 0.372 0.628 0.250
O 0.470 0.216 0.036
O 0.471 0.252 0.456
O 0.529 0.748 0.956
O 0.530 0.784 0.536
O 0.628 0.372 0.750
O 0.748 0.529 0.044
O 0.784 0.530 0.464
O 0.787 0.173 0.533
O 0.827 0.213 0.967
O 0.830 0.867 0.169
O 0.867 0.830 0.831

## Properties
- Crystal system: orthorhombic
- Raw formation energy: -3143.6 kJ/mol of formula units

[2]
VCrCu2Sn: relaxed, GGA-PBE.

Cell lengths 4.684, 4.684, 4.992 Å; angles 90.00, 90.00, 90.00 degrees
Element x y z (fractional)
V 0.000 0.000 0.000
Cr 0.500 0.500 0.000
Cu 0.000 0.500 0.500
Cu 0.500 0.000 0.500
Sn 0.500 0.500 0.500

## Properties
- Crystal system: tetragonal
- Formation enthalpy at 0 K: 1520 meV per atom

[3]
Ac5IrRh2O: relaxed, GGA-PBE.

Cell lengths 9.685, 9.685, 12.563 Å; angles 90.00, 90.00, 153.55 degrees
Element x y z (fractional)
Ac 0.007 0.993 0.500
Ac 0.149 0.851 0.760
Ac 0.175 0.825 0.117
Ac 0.212 0.788 0.430
Ac 0.466 0.534 0.757
Ac 0.534 0.466 0.257
Ac 0.788 0.212 0.930
Ac 0.825 0.175 0.617
Ac 0.851 0.149 0.260
Ac 0.993 0.007 0.000
Ir 0.306 0.694 0.773
Ir 0.694 0.306 0.273
Rh 0.386 0.614 0.989
Rh 0.394 0.606 0.417
Rh 0.606 0.394 0.917
Rh 0.614 0.386 0.489
O 0.043 0.957 0.177
O 0.957 0.043 0.677

## Properties
- Crystal system: orthorhombic
- Raw formation energy: -905.6 kJ/mol of formula units

[4]
YPd5Pt2: relaxed, GGA-PBE.

Cell lengths 5.702, 11.431, 4.065 Å; angles 90.00, 90.00, 90.00 degrees
Element x y z (fractional)
Y 0.000 0.000 0.000
Y 0.500 0.500 0.000
Pd 0.000 0.500 0.000
Pd 0.013 0.251 0.000
Pd 0.249 0.873 0.500
Pd 0.251 0.373 0.500
Pd 0.487 0.751 0.000
Pd 0.500 0.000 0.000
Pd 0.513 0.249 0.000
Pd 0.749 0.627 0.500
Pd 0.751 0.127 0.500
Pd 0.987 0.749 0.000
Pt 0.237 0.629 0.500
Pt 0.263 0.129 0.500
Pt 0.737 0.871 0.500
Pt 0.763 0.371 0.500

## Properties
- Energy above the lowest structure with this stoichiometry: 0 meV/atom
- Crystal system: orthorhombic
- Formation enthalpy at 0 K: -438 meV per atom